Record 1
Entry from Alexandria: an optimized crystal structure of Zr6NiOs5 (PBE-GGA).

Computed properties:
N(E_F), states/eV per atom: 0.698
Magnetization, μB per formula unit: 0.009
Space-group type: Immm, No. 71
VASP energy, eV/atom: -9.923

a b c (Å): 4.653 6.533 8.049
angles (deg): 113.94 106.80 90.00
Fractional positions:
Os: 0.667 0.167 0.334
Os: 0.000 0.500 0.000
Os: 0.334 0.334 0.668
Os: 0.333 0.833 0.666
Os: 0.666 0.666 0.332
Zr: 0.500 0.248 0.000
Zr: 0.834 0.586 0.668
Zr: 0.166 0.917 0.332
Zr: 0.834 0.083 0.668
Zr: 0.166 0.414 0.332
Zr: 0.500 0.752 0.000
Ni: 0.000 0.000 0.000

---

Record 2
Entry from Alexandria: an optimized crystal structure of ZrNiOs2 (PBE-GGA).

Computed properties:
N(E_F), states/eV per atom: 1.129
Magnetization, μB per formula unit: 0.000
Space-group type: Fm-3m, No. 225
VASP energy, eV/atom: -9.012
Energy relative to the lowest polymorph listed for this composition, eV per atom: 0.308

a b c (Å): 4.431 4.431 4.431
angles (deg): 60.00 60.00 60.00
Fractional positions:
Os: 0.750 0.750 0.750
Os: 0.250 0.250 0.250
Ni: 0.000 0.000 0.000
Zr: 0.500 0.500 0.500

---

Record 3
Entry from Alexandria: an optimized crystal structure of ZrNiOs (PBE-GGA).

Computed properties:
N(E_F), states/eV per atom: 0.882
Magnetization, μB per formula unit: 0.000
Space-group type: I4/mmm, No. 139
VASP energy, eV/atom: -8.758
Energy relative to the lowest polymorph listed for this composition, eV per atom: 0.172

a b c (Å): 4.044 4.044 6.669
angles (deg): 107.65 107.65 90.00
Fractional positions:
Zr: 0.662 0.662 0.324
Zr: 0.338 0.338 0.676
Os: 0.500 0.000 0.000
Os: 0.000 0.500 0.000
Ni: 0.125 0.125 0.251
Ni: 0.875 0.875 0.749

---

Record 4
Entry from Alexandria: an optimized crystal structure of ZrNiOs (PBE-GGA).

Computed properties:
N(E_F), states/eV per atom: 0.619
Magnetization, μB per formula unit: 0.000
Space-group type: Cm, No. 8
VASP energy, eV/atom: -8.706
Energy relative to the lowest polymorph listed for this composition, eV per atom: 0.224

a b c (Å): 5.312 4.380 8.410
angles (deg): 90.00 101.42 90.00
Fractional positions:
Os: 0.875 0.500 0.447
Os: 0.896 0.500 0.122
Os: 0.896 0.000 0.622
Os: 0.875 0.000 0.947
Zr: 0.683 0.000 0.263
Zr: 0.355 0.000 0.536
Zr: 0.355 0.500 0.036
Zr: 0.683 0.500 0.763
Ni: 0.189 0.000 0.209
Ni: 0.318 0.500 0.357
Ni: 0.189 0.500 0.709
Ni: 0.318 0.000 0.857

---

Record 5
Entry from Alexandria: an optimized crystal structure of Ni2P3 (PBE-GGA).

Computed properties:
N(E_F), states/eV per atom: 0.830
Magnetization, μB per formula unit: 0.000
Space-group type: R-3m, No. 166
VASP energy, eV/atom: -5.641

a b c (Å): 7.792 7.792 7.792
angles (deg): 23.14 23.14 23.14
Fractional positions:
P: 0.000 0.000 0.000
P: 0.199 0.199 0.199
P: 0.801 0.801 0.801
Ni: 0.400 0.400 0.400
Ni: 0.600 0.600 0.600

---

Record 6
Entry from Alexandria: an optimized crystal structure of Ni3P (PBE-GGA).

Computed properties:
N(E_F), states/eV per atom: 0.695
Magnetization, μB per formula unit: 0.000
Space-group type: Immm, No. 71
VASP energy, eV/atom: -5.964

a b c (Å): 4.587 4.587 4.587
angles (deg): 143.28 129.76 63.82
Fractional positions:
Ni: 0.285 0.285 0.000
Ni: 0.715 0.715 0.000
Ni: 0.000 0.500 0.500
P: 0.500 0.000 0.500

---

Record 7
Entry from Alexandria: an optimized crystal structure of Ni3P (PBE-GGA).

Computed properties:
N(E_F), states/eV per atom: 0.974
Magnetization, μB per formula unit: 0.000
Space-group type: I4/mmm, No. 139
VASP energy, eV/atom: -5.948

a b c (Å): 7.549 7.549 7.549
angles (deg): 153.48 153.48 37.86
Fractional positions:
Ni: 0.880 0.880 0.000
Ni: 0.250 0.750 0.500
Ni: 0.000 0.500 0.500
Ni: 0.120 0.120 0.000
Ni: 0.750 0.250 0.500
Ni: 0.500 0.000 0.500
P: 0.635 0.635 0.000
P: 0.365 0.365 0.000

---

Record 8
Entry from Alexandria: an optimized crystal structure of Ni4P (PBE-GGA).

Computed properties:
N(E_F), states/eV per atom: 1.894
Magnetization, μB per formula unit: 1.163
Space-group type: Pm-3m, No. 221
VASP energy, eV/atom: -5.399

a b c (Å): 4.095 4.095 4.095
angles (deg): 90.00 90.00 90.00
Fractional positions:
Ni: 0.500 0.500 0.000
Ni: 0.500 0.000 0.500
Ni: 0.000 0.500 0.500
Ni: 0.000 0.000 0.000
P: 0.500 0.500 0.500

---

Record 9
Entry from Alexandria: an optimized crystal structure of Ni8P3 (PBE-GGA).

Computed properties:
N(E_F), states/eV per atom: 0.386
Magnetization, μB per formula unit: 0.000
Space-group type: R-3c, No. 167
VASP energy, eV/atom: -6.137

a b c (Å): 6.589 6.589 13.226
angles (deg): 75.58 75.58 60.00
Fractional positions:
P: 0.568 0.932 0.250
P: 0.841 0.841 0.476
P: 0.341 0.341 0.976
P: 0.500 0.500 0.500
P: 0.000 0.000 0.000
P: 0.659 0.659 0.024
P: 0.432 0.068 0.750
P: 0.068 0.750 0.750
P: 0.932 0.250 0.250
P: 0.750 0.432 0.750
P: 0.250 0.568 0.250
P: 0.159 0.159 0.524
Ni: 0.781 0.781 0.656
Ni: 0.719 0.719 0.844
Ni: 0.845 0.613 0.161
Ni: 0.857 0.211 0.450
Ni: 0.887 0.655 0.339
Ni: 0.281 0.281 0.156
Ni: 0.655 0.119 0.339
Ni: 0.289 0.643 0.050
Ni: 0.143 0.789 0.550
Ni: 0.381 0.845 0.161
Ni: 0.155 0.387 0.839
Ni: 0.345 0.881 0.661
Ni: 0.387 0.619 0.839
Ni: 0.711 0.357 0.950
Ni: 0.211 0.482 0.450
Ni: 0.442 0.442 0.675
Ni: 0.518 0.143 0.550
Ni: 0.119 0.887 0.339
Ni: 0.058 0.058 0.825
Ni: 0.357 0.982 0.950
Ni: 0.558 0.558 0.325
Ni: 0.482 0.857 0.450
Ni: 0.942 0.942 0.175
Ni: 0.643 0.018 0.050
Ni: 0.619 0.155 0.839
Ni: 0.982 0.711 0.950
Ni: 0.881 0.113 0.661
Ni: 0.613 0.381 0.161
Ni: 0.219 0.219 0.344
Ni: 0.018 0.289 0.050
Ni: 0.113 0.345 0.661
Ni: 0.789 0.518 0.550

---

Record 10
Entry from Alexandria: an optimized crystal structure of Ni2P3 (PBE-GGA).

Computed properties:
N(E_F), states/eV per atom: 0.521
Magnetization, μB per formula unit: 0.000
Space-group type: Fdd2, No. 43
VASP energy, eV/atom: -5.676

a b c (Å): 8.891 7.337 5.593
angles (deg): 85.76 55.38 38.86
Fractional positions:
P: 0.740 0.532 0.222
P: 0.028 0.745 0.510
P: 0.718 0.510 0.745
P: 0.505 0.222 0.532
P: 0.996 0.004 0.004
P: 0.246 0.254 0.254
Ni: 0.838 0.740 0.001
Ni: 0.249 0.830 0.412
Ni: 0.510 0.412 0.830
Ni: 0.420 0.001 0.740

---

Record 11
Entry from Alexandria: an optimized crystal structure of Ni3P (PBE-GGA).

Computed properties:
N(E_F), states/eV per atom: 0.926
Magnetization, μB per formula unit: 0.000
Space-group type: Pm-3n, No. 223
VASP energy, eV/atom: -5.850

a b c (Å): 4.427 4.427 4.427
angles (deg): 90.00 90.00 90.00
Fractional positions:
P: 0.500 0.500 0.500
P: 0.000 0.000 0.000
Ni: 0.500 0.000 0.750
Ni: 0.250 0.500 0.000
Ni: 0.500 0.000 0.250
Ni: 0.750 0.500 0.000
Ni: 0.000 0.750 0.500
Ni: 0.000 0.250 0.500

---

Record 12
Entry from Alexandria: an optimized crystal structure of Ni23P6 (PBE-GGA).

Computed properties:
N(E_F), states/eV per atom: 1.028
Magnetization, μB per formula unit: 1.878
Space-group type: Fm-3m, No. 225
VASP energy, eV/atom: -5.997

a b c (Å): 7.763 7.763 7.763
angles (deg): 60.00 60.00 60.00
Fractional positions:
Ni: 0.346 0.654 0.000
Ni: 0.379 0.862 0.379
Ni: 0.000 0.654 0.346
Ni: 0.250 0.250 0.250
Ni: 0.000 0.000 0.000
Ni: 0.654 0.000 0.346
Ni: 0.000 0.346 0.000
Ni: 0.000 0.000 0.654
Ni: 0.000 0.346 0.654
Ni: 0.000 0.000 0.346
Ni: 0.750 0.750 0.750
Ni: 0.862 0.379 0.379
Ni: 0.138 0.621 0.621
Ni: 0.654 0.346 0.000
Ni: 0.621 0.621 0.138
Ni: 0.621 0.621 0.621
Ni: 0.346 0.000 0.654
Ni: 0.000 0.654 0.000
Ni: 0.621 0.138 0.621
Ni: 0.346 0.000 0.000
Ni: 0.379 0.379 0.379
Ni: 0.654 0.000 0.000
Ni: 0.379 0.379 0.862
P: 0.733 0.267 0.733
P: 0.733 0.733 0.267
P: 0.267 0.267 0.733
P: 0.267 0.733 0.733
P: 0.267 0.733 0.267
P: 0.733 0.267 0.267

---

Q: Which ΔE_f values were calculated for the entries above? A: -0.4886, 0.1848, -0.2378, -0.1863, -0.0822, -0.2758, -0.2594, 0.3079, -0.4570, -0.1174, -0.1614, -0.2921, in eV per atom.